# 1
DFT (GGA-PBE) results for crystalline LiNiBr3 at its relaxed geometry.

Cell and atoms, written as CIF:
```
data_LiNiBr3
_chemical_formula_sum 'Li1 Ni1 Br3'
_cell_length_a 4.980
_cell_length_b 4.980
_cell_length_c 4.980
_cell_angle_alpha 90.00
_cell_angle_beta 90.00
_cell_angle_gamma 90.00
_symmetry_space_group_name_H-M 'P m -3 m'
_symmetry_Int_Tables_number 221
_symmetry_space_group_name_Hall '-P 4 2 3'
loop_
_atom_site_label
_atom_site_fract_x
_atom_site_fract_y
_atom_site_fract_z
Li1 0.000 0.000 0.000
Ni1 0.500 0.500 0.500
Br1 0.000 0.500 0.500
```

Values from the calculation:
E_form (uncorrected) (eV/f.u.): -2.673
E above lowest polymorph (meV per atom): 0
Electronic total energy (eV per formula unit): -15.39


# 2
DFT (GGA-PBE) results for crystalline LaCu2Tc at its relaxed geometry.

Cell and atoms, written as CIF:
```
data_LaCu2Tc
_chemical_formula_sum 'La1 Cu2 Tc1'
_cell_length_a 4.119
_cell_length_b 4.119
_cell_length_c 4.100
_cell_angle_alpha 90.00
_cell_angle_beta 90.00
_cell_angle_gamma 90.00
_symmetry_space_group_name_H-M 'P 4/m m m'
_symmetry_Int_Tables_number 123
_symmetry_space_group_name_Hall '-P 4 2'
loop_
_atom_site_label
_atom_site_fract_x
_atom_site_fract_y
_atom_site_fract_z
La1 0.000 0.000 0.000
Cu1 0.000 0.500 0.500
Tc1 0.500 0.500 0.000
```

Values from the calculation:
Energy of formation (eV/atom): 0.287
E above lowest polymorph (meV per atom): 184
Electronic total energy (eV per formula unit): -22.34


# 3
DFT (GGA-PBE) results for crystalline CdPdRhO6 at its relaxed geometry.

Cell and atoms, written as CIF:
```
data_CdPdRhO6
_chemical_formula_sum 'Cd2 Pd2 Rh2 O12'
_cell_length_a 5.2419
_cell_length_b 5.2419
_cell_length_c 9.5459
_cell_angle_alpha 90.00
_cell_angle_beta 90.00
_cell_angle_gamma 120.00
_symmetry_space_group_name_H-M 'P -3 1 c'
_symmetry_Int_Tables_number 163
_symmetry_space_group_name_Hall '-P 3 2c'
loop_
_atom_site_label
_atom_site_fract_x
_atom_site_fract_y
_atom_site_fract_z
Cd1 0.0000 0.0000 0.0000
Pd1 0.3333 0.6667 0.2500
Rh1 0.3333 0.6667 0.7500
O1 0.0062 0.3698 0.6367
```

Values from the calculation:
E_form (uncorrected) (eV/f.u.): -4.442
Electronic total energy (eV per formula unit): -47.65


# 4
DFT (GGA-PBE) results for crystalline LiCaCoGe2 at its relaxed geometry.

Cell and atoms, written as CIF:
```
data_LiCaCoGe2
_chemical_formula_sum 'Li2 Ca2 Co2 Ge4'
_cell_length_a 4.136
_cell_length_b 4.136
_cell_length_c 10.145
_cell_angle_alpha 90.00
_cell_angle_beta 90.00
_cell_angle_gamma 90.00
_symmetry_space_group_name_H-M 'I -4 m 2'
_symmetry_Int_Tables_number 119
_symmetry_space_group_name_Hall 'I -4 -2'
loop_
_atom_site_label
_atom_site_fract_x
_atom_site_fract_y
_atom_site_fract_z
Li1 0.000 0.000 0.000
Ca1 0.000 0.500 0.750
Co1 0.000 0.000 0.500
Ge1 0.000 0.500 0.122
```

Values from the calculation:
Energy of formation (eV/atom): -0.380
Electronic total energy (eV per formula unit): -22.16


# 5
DFT (GGA-PBE) results for crystalline HoAg4Hg4 at its relaxed geometry.

Cell and atoms, written as CIF:
```
data_HoAg4Hg4
_chemical_formula_sum 'Ho2 Ag8 Hg8'
_cell_length_a 9.556
_cell_length_b 9.556
_cell_length_c 4.197
_cell_angle_alpha 90.00
_cell_angle_beta 90.00
_cell_angle_gamma 90.00
_symmetry_space_group_name_H-M 'I 4/m m m'
_symmetry_Int_Tables_number 139
_symmetry_space_group_name_Hall '-I 4 2'
loop_
_atom_site_label
_atom_site_fract_x
_atom_site_fract_y
_atom_site_fract_z
Ho1 0.000 0.000 0.000
Ag1 0.000 0.345 0.000
Hg1 0.171 0.171 0.500
```

Values from the calculation:
Energy of formation (eV/atom): -0.070
Electronic total energy (eV per formula unit): -17.82


# 6
DFT (GGA-PBE) results for crystalline BiSbSe2Br at its relaxed geometry.

Cell and atoms, written as CIF:
```
data_BiSbSe2Br
_chemical_formula_sum 'Bi1 Sb1 Se2 Br1'
_cell_length_a 5.420
_cell_length_b 5.420
_cell_length_c 5.342
_cell_angle_alpha 90.00
_cell_angle_beta 90.00
_cell_angle_gamma 90.00
_symmetry_space_group_name_H-M 'P 4/m m m'
_symmetry_Int_Tables_number 123
_symmetry_space_group_name_Hall '-P 4 2'
loop_
_atom_site_label
_atom_site_fract_x
_atom_site_fract_y
_atom_site_fract_z
Bi1 0.000 0.000 0.000
Sb1 0.500 0.500 0.500
Se1 0.000 0.500 0.500
Br1 0.500 0.500 0.000
```

Values from the calculation:
E_form (uncorrected) (eV/f.u.): 1.123
E above lowest polymorph (meV per atom): 0
Electronic total energy (eV per formula unit): -15.52


> electronic total energy of number 5 (HoAg4Hg4)?

-17.82 eV per formula unit


Please write out number 6 again, unchanged.
DFT (GGA-PBE) results for crystalline BiSbSe2Br at its relaxed geometry.

Cell and atoms, written as CIF:
```
data_BiSbSe2Br
_chemical_formula_sum 'Bi1 Sb1 Se2 Br1'
_cell_length_a 5.420
_cell_length_b 5.420
_cell_length_c 5.342
_cell_angle_alpha 90.00
_cell_angle_beta 90.00
_cell_angle_gamma 90.00
_symmetry_space_group_name_H-M 'P 4/m m m'
_symmetry_Int_Tables_number 123
_symmetry_space_group_name_Hall '-P 4 2'
loop_
_atom_site_label
_atom_site_fract_x
_atom_site_fract_y
_atom_site_fract_z
Bi1 0.000 0.000 0.000
Sb1 0.500 0.500 0.500
Se1 0.000 0.500 0.500
Br1 0.500 0.500 0.000
```

Values from the calculation:
E_form (uncorrected) (eV/f.u.): 1.123
E above lowest polymorph (meV per atom): 0
Electronic total energy (eV per formula unit): -15.52


> Which of these has the lowest electronic total energy?

CdPdRhO6


> Among the records above, which one has the lowest electronic total energy?

CdPdRhO6